(1)
Here is crystalline LaZnGa at its relaxed geometry from the Alexandria database. Energies are from PBE.

Unit cell a=5.104 b=5.104 c=6.341 alpha=90.00 beta=90.00 gamma=120.00
Sites, in units of the cell vectors:
1 Zn 0.000 0.000 0.000
2 Zn 0.000 0.000 0.500
3 Ga 0.333 0.667 0.250
4 Ga 0.667 0.333 0.750
5 La 0.333 0.667 0.750
6 La 0.667 0.333 0.250

Computed properties:
E in eV per atom: -3.453

---

(2)
Here is crystalline LaZn2Ga3 at its relaxed geometry from the Alexandria database. Energies are from PBE.

Unit cell a=4.385 b=8.068 c=8.768 alpha=54.30 beta=75.52 gamma=74.23
Sites, in units of the cell vectors:
1 La 0.851 0.199 0.100
2 La 0.149 0.801 0.900
3 Zn 0.516 0.138 0.831
4 Zn 0.484 0.862 0.169
5 Zn 0.824 0.699 0.653
6 Zn 0.176 0.301 0.347
7 Ga 0.362 0.486 0.790
8 Ga 0.005 0.329 0.660
9 Ga 0.678 0.092 0.552
10 Ga 0.322 0.908 0.448
11 Ga 0.995 0.671 0.340
12 Ga 0.638 0.514 0.210

Computed properties:
E in eV per atom: -3.132

---

(3)
Here is crystalline La2Zn3Ga5 at its relaxed geometry from the Alexandria database. Energies are from PBE.

Unit cell a=4.388 b=4.388 c=10.480 alpha=90.00 beta=90.00 gamma=90.00
Sites, in units of the cell vectors:
1 La 0.500 0.000 0.253
2 La 0.000 0.500 0.747
3 Zn 0.500 0.000 0.625
4 Zn 0.000 0.500 0.375
5 Zn 0.000 0.000 0.500
6 Ga 0.500 0.500 0.000
7 Ga 0.000 0.000 0.000
8 Ga 0.500 0.000 0.860
9 Ga 0.000 0.500 0.140
10 Ga 0.500 0.500 0.500

Computed properties:
E in eV per atom: -3.377
Energy above the lowest structure with this stoichiometry in eV/f.u.: 0.274

---

(4)
Here is crystalline LaZn3Ga at its relaxed geometry from the Alexandria database. Energies are from PBE.

Unit cell a=5.744 b=5.744 c=5.744 alpha=90.00 beta=90.00 gamma=90.00
Sites, in units of the cell vectors:
1 Zn 0.000 0.500 0.000
2 Zn 0.000 0.000 0.500
3 Zn 0.500 0.000 0.000
4 Ga 0.500 0.500 0.500
5 La 0.000 0.000 0.000

Computed properties:
E in eV per atom: -1.437
Energy above the lowest structure with this stoichiometry in eV/f.u.: 6.756

---

(5)
Here is crystalline La2Zn9Ga3 at its relaxed geometry from the Alexandria database. Energies are from PBE.

Unit cell a=7.986 b=7.986 c=9.269 alpha=90.00 beta=90.00 gamma=119.94
Sites, in units of the cell vectors:
1 La 0.675 0.004 0.250
2 La 0.325 0.996 0.750
3 La 0.004 0.675 0.250
4 La 0.996 0.325 0.750
5 Zn 0.148 0.148 0.250
6 Zn 0.852 0.852 0.750
7 Zn 0.341 0.341 0.558
8 Zn 0.659 0.659 0.058
9 Zn 0.341 0.341 0.942
10 Zn 0.659 0.659 0.442
11 Zn 0.546 0.359 0.250
12 Zn 0.454 0.641 0.750
13 Zn 0.359 0.546 0.250
14 Zn 0.641 0.454 0.750
15 Zn 0.342 0.034 0.093
16 Zn 0.658 0.966 0.593
17 Zn 0.034 0.342 0.407
18 Zn 0.966 0.658 0.907
19 Zn 0.658 0.966 0.907
20 Zn 0.342 0.034 0.407
21 Zn 0.966 0.658 0.593
22 Zn 0.034 0.342 0.093
23 Ga 0.000 0.000 0.000
24 Ga 0.000 0.000 0.500
25 Ga 0.311 0.689 0.000
26 Ga 0.689 0.311 0.500
27 Ga 0.689 0.311 0.000
28 Ga 0.311 0.689 0.500

Computed properties:
E in eV per atom: -2.464

---

(6)
Here is crystalline LaZnGa at its relaxed geometry from the Alexandria database. Energies are from PBE.

Unit cell a=4.583 b=4.582 c=7.708 alpha=90.00 beta=90.00 gamma=59.99
Sites, in units of the cell vectors:
1 Zn 0.432 0.989 0.464
2 Zn 0.765 0.322 0.964
3 Ga 0.432 0.989 0.902
4 Ga 0.765 0.322 0.402
5 La 0.098 0.656 0.684
6 La 0.098 0.655 0.184

Computed properties:
E in eV per atom: -3.635

---

(7)
Here is crystalline La2Zn2Ga5 at its relaxed geometry from the Alexandria database. Energies are from PBE.

Unit cell a=4.373 b=4.373 c=10.000 alpha=90.00 beta=90.00 gamma=90.00
Sites, in units of the cell vectors:
1 La 0.000 0.000 0.000
2 La 0.000 0.000 0.500
3 Zn 0.500 0.500 0.121
4 Zn 0.500 0.500 0.879
5 Ga 0.500 0.000 0.267
6 Ga 0.500 0.000 0.733
7 Ga 0.000 0.500 0.267
8 Ga 0.000 0.500 0.733
9 Ga 0.500 0.500 0.500

Computed properties:
E in eV per atom: -3.499

---

(8)
Here is crystalline LaZnGa at its relaxed geometry from the Alexandria database. Energies are from PBE.

Unit cell a=4.659 b=6.637 c=5.511 alpha=107.70 beta=65.00 gamma=90.07
Sites, in units of the cell vectors:
1 Zn 0.316 0.346 0.988
2 Zn 0.754 0.189 0.111
3 Ga 0.556 0.023 0.505
4 Ga 0.661 0.610 0.297
5 La 0.005 0.391 0.610
6 La 0.298 0.839 0.023

Computed properties:
E in eV per atom: -3.447

---

Q: The lowest E belongs to which entry?
A: number 6